No. 1
A plane-wave DFT calculation with PBE-GGA was carried out for an optimized crystal structure of La4SnAsS2.

Cell: 4.355 7.483 7.578 Å, 70.31 90.00 90.00°
Element x y z (fractional)
La 0.000 0.763 0.738
La 0.000 0.237 0.262
La 0.500 0.756 0.254
La 0.500 0.244 0.746
Sn 0.500 0.500 0.000
As 0.000 0.500 0.500
S 0.000 0.000 0.000
S 0.500 0.000 0.500

Values from the calculation:
Space-group type: No. 10
Calculated total energy in eV per atom: -6.21
Size of the total moment in μB/atom: 0.000
Raw formation energy in eV per atom: -1.630

No. 2
A plane-wave DFT calculation with PBE-GGA was carried out for an optimized crystal structure of CdNiSe.

Cell: 4.295 4.295 4.295 Å, 60.00 60.00 60.00°
Element x y z (fractional)
Cd 0.500 0.500 0.500
Ni 0.750 0.750 0.750
Se 0.000 0.000 0.000

Values from the calculation:
Space-group type: No. 216
Calculated total energy in eV per atom: -3.46
Size of the total moment in μB/atom: 0.000
Raw formation energy in eV per atom: -0.068

No. 3
A plane-wave DFT calculation with PBE-GGA was carried out for an optimized crystal structure of LiFeBr3.

Cell: 5.179 5.179 5.179 Å, 90.00 90.00 90.00°
Site moments in Bohr magnetons follow the coordinates.
Element x y z (fractional)
Fe 0.000 0.000 0.000  3.47
Br 0.000 0.500 0.000  0.10
Br 0.000 0.000 0.500  0.06
Br 0.500 0.000 0.000  0.14
Li 0.500 0.500 0.500  0.00

Values from the calculation:
Space-group type: No. 221
Calculated total energy in eV per atom: -3.63
Size of the total moment in μB/atom: 0.800
Raw formation energy in eV per atom: -0.549

No. 4
A plane-wave DFT calculation with PBE-GGA was carried out for an optimized crystal structure of Li2LaDy2Si2.

Cell: 4.527 4.527 9.325 Å, 75.95 75.95 60.00°
Element x y z (fractional)
Li 0.590 0.590 0.231
Li 0.410 0.410 0.769
La 0.000 0.000 0.000
Dy 0.129 0.129 0.612
Dy 0.871 0.871 0.388
Si 0.744 0.744 0.768
Si 0.256 0.256 0.232

Values from the calculation:
Space-group type: No. 166
Calculated total energy in eV per atom: -4.52
Size of the total moment in μB/atom: 0.000
Raw formation energy in eV per atom: -0.409

No. 5
A plane-wave DFT calculation with PBE-GGA was carried out for an optimized crystal structure of HfCo2Os2.

Cell: 3.842 3.842 5.915 Å, 71.05 71.05 90.00°
Site moments in Bohr magnetons follow the coordinates.
Element x y z (fractional)
Hf 0.000 0.000 0.000  0.01
Os 0.390 0.390 0.221  0.05
Os 0.610 0.610 0.779  0.05
Co 0.750 0.250 0.500  0.78
Co 0.250 0.750 0.500  0.78

Values from the calculation:
Space-group type: No. 139
Calculated total energy in eV per atom: -9.21
Size of the total moment in μB/atom: 0.332

No. 6
A plane-wave DFT calculation with PBE-GGA was carried out for an optimized crystal structure of PrTa4Se8.

Cell: 7.111 7.111 8.331 Å, 90.00 115.26 120.00°
Element x y z (fractional)
Pr 0.000 0.500 0.500
Ta 0.000 0.000 0.000
Ta 0.000 0.500 0.000
Ta 0.500 0.500 0.000
Ta 0.500 0.000 0.000
Se 0.484 0.742 0.226
Se 0.516 0.258 0.774
Se 0.474 0.237 0.228
Se 0.009 0.246 0.772
Se 0.526 0.763 0.772
Se 0.009 0.763 0.772
Se 0.991 0.237 0.228
Se 0.991 0.754 0.228

Values from the calculation:
Space-group type: No. 166
Calculated total energy in eV per atom: -7.02
Size of the total moment in μB/atom: 0.000
Raw formation energy in eV per atom: -0.862

No. 7
A plane-wave DFT calculation with PBE-GGA was carried out for an optimized crystal structure of Hf2NbSb4.

Cell: 3.914 7.116 7.638 Å, 117.32 104.85 90.00°
Element x y z (fractional)
Hf 0.757 0.771 0.513
Hf 0.243 0.229 0.487
Nb 0.000 0.000 0.000
Sb 0.889 0.231 0.778
Sb 0.111 0.769 0.222
Sb 0.615 0.310 0.230
Sb 0.385 0.690 0.770

Values from the calculation:
Space-group type: No. 12
Calculated total energy in eV per atom: -6.90
Size of the total moment in μB/atom: 0.000
Raw formation energy in eV per atom: -0.264

No. 8
A plane-wave DFT calculation with PBE-GGA was carried out for an optimized crystal structure of PaIn2GeO8.

Cell: 4.877 4.880 6.627 Å, 90.00 90.00 90.36°
Site moments in Bohr magnetons follow the coordinates.
Element x y z (fractional)
Pa 0.000 0.000 0.500  0.00
In 0.500 0.500 0.763  -0.01
In 0.500 0.500 0.237  -0.01
Ge 0.000 0.000 0.000  -0.01
O 0.183 0.816 0.221  0.08
O 0.720 0.721 0.000  0.24
O 0.817 0.184 0.221  0.08
O 0.817 0.184 0.779  0.08
O 0.280 0.279 0.000  0.24
O 0.183 0.816 0.779  0.08
O 0.693 0.694 0.500  0.03
O 0.307 0.306 0.500  0.03

Values from the calculation:
Space-group type: No. 10
Calculated total energy in eV per atom: -6.89
Size of the total moment in μB/atom: 0.086
Raw formation energy in eV per atom: -1.957